## Ac8ZnOs2 (PBE)

Data for a relaxed Ac8ZnOs2 crystal.

Summary:
E_form in meV/atom: 39
DOS(E_F) in states/eV/f.u.: 13.32
Energy in eV for the cell shown: -56.176
SG: Cm

Cell and atoms, written as POSCAR:
```
Ac8ZnOs2
1.0
4.5346 -6.9260 0.0000
4.5346 6.9260 0.0000
-1.8340 0.0000 6.3851
Ac Zn Os
8 1 2
Direct
0.0000 0.0000 0.0000
0.0305 0.2998 0.6130
0.1533 0.6058 0.2061
0.2998 0.0305 0.6130
0.4499 0.7207 0.8134
0.6058 0.1533 0.2061
0.7207 0.4499 0.8134
0.7425 0.7425 0.4127
0.3741 0.3741 0.0455
0.0683 0.6821 0.7152
0.6821 0.0683 0.7152
```

## Ac2ZnOs (PBE)

Data for a relaxed Ac2ZnOs crystal.

Summary:
E_form in meV/atom: -112
DOS(E_F) in states/eV/f.u.: 3.23
Energy in eV for the cell shown: -42.335
SG: P2_1/m

Cell and atoms, written as POSCAR:
```
Ac2ZnOs
1.0
6.3073 0.0000 0.0000
0.0000 4.4043 0.0000
-3.1096 0.0000 8.1470
Ac Zn Os
4 2 2
Direct
0.1878 0.2500 0.4162
0.2748 0.7500 0.0572
0.7252 0.2500 0.9428
0.8122 0.7500 0.5838
0.3547 0.7500 0.7177
0.6453 0.2500 0.2823
0.1545 0.2500 0.7784
0.8455 0.7500 0.2216
```

## Ac3Zn2Os (PBE)

Data for a relaxed Ac3Zn2Os crystal.

Summary:
E_form in meV/atom: -152
DOS(E_F) in states/eV/f.u.: 6.58
Energy in eV for the cell shown: -108.067
SG: Pnma

Cell and atoms, written as POSCAR:
```
Ac3Zn2Os
1.0
12.9386 0.0000 0.0000
0.0000 4.5395 0.0000
0.0000 0.0000 12.2300
Ac Zn Os
12 8 4
Direct
0.0542 0.2500 0.1249
0.1122 0.7500 0.5548
0.2288 0.2500 0.7928
0.2712 0.7500 0.2928
0.3878 0.2500 0.0548
0.4458 0.7500 0.6249
0.5542 0.2500 0.3751
0.6122 0.7500 0.9452
0.7288 0.2500 0.7072
0.7712 0.7500 0.2072
0.8878 0.2500 0.4452
0.9458 0.7500 0.8751
0.0231 0.7500 0.3100
0.2074 0.7500 0.9899
0.2926 0.2500 0.4899
0.4769 0.2500 0.8100
0.5231 0.7500 0.1900
0.7074 0.7500 0.5101
0.7926 0.2500 0.0101
0.9769 0.2500 0.6900
0.1204 0.2500 0.3671
0.3796 0.7500 0.8671
0.6204 0.2500 0.1329
0.8796 0.7500 0.6329
```

## Ac4ZnOs (PBE)

Data for a relaxed Ac4ZnOs crystal.

Summary:
E_form in meV/atom: -75
DOS(E_F) in states/eV/f.u.: 6.84
Energy in eV for the cell shown: -58.775
SG: P2_1/m

Cell and atoms, written as POSCAR:
```
Ac4ZnOs
1.0
6.8501 0.0000 0.0000
0.0000 7.4594 0.0000
-2.8499 0.0000 8.1867
Ac Zn Os
8 2 2
Direct
0.0112 0.0032 0.2268
0.0112 0.4968 0.2268
0.4382 0.2500 0.6244
0.4496 0.2500 0.0980
0.5504 0.7500 0.9020
0.5618 0.7500 0.3756
0.9888 0.5032 0.7732
0.9888 0.9968 0.7732
0.2017 0.7500 0.5508
0.7983 0.2500 0.4492
0.2284 0.7500 0.0583
0.7716 0.2500 0.9417
```

## AcZn3Os (PBE)

Data for a relaxed AcZn3Os crystal.

Summary:
E_form in meV/atom: -31
DOS(E_F) in states/eV/f.u.: 3.32
Energy in eV for the cell shown: -19.313
SG: Pm-3m

Cell and atoms, written as POSCAR:
```
AcZn3Os
1.0
4.8485 0.0000 0.0000
0.0000 4.8485 0.0000
0.0000 0.0000 4.8485
Ac Zn Os
1 3 1
Direct
0.0000 0.0000 0.0000
0.0000 0.5000 0.5000
0.5000 0.0000 0.5000
0.5000 0.5000 0.0000
0.5000 0.5000 0.5000
```

## Ac2ZnOs (PBE)

Data for a relaxed Ac2ZnOs crystal.

Summary:
E_form in meV/atom: 48
DOS(E_F) in states/eV/f.u.: 4.32
Energy in eV for the cell shown: -20.528
SG: P4/mmm

Cell and atoms, written as POSCAR:
```
Ac2ZnOs
1.0
3.7130 0.0000 0.0000
0.0000 3.7130 0.0000
0.0000 0.0000 8.0312
Ac Zn Os
2 1 1
Direct
0.0000 0.0000 0.2284
0.0000 0.0000 0.7716
0.5000 0.5000 0.5000
0.5000 0.5000 0.0000
```

Question: The lowest DOS(E_F) belongs to which entry?
Answer: number 2

Question: Among the records above, which one has the highest DOS(E_F)?
Answer: Ac8ZnOs2

Question: Which value of DOS(E_F) does entry 4 give?
Answer: 6.84 states/eV/f.u.